DFT (PBE) results for a relaxed structure of Li3CaTl3.

Results
energy above the most stable polymorph in this dataset	0	meV/atom
V	344.3	Å³ per cell
ρ	6.50	g/cm3
energy of formation	-0.169	eV per atom

Cell: 8.450 8.450 7.403 Å, 55.20 55.20 60.00°
Fractional positions:
Ca 0.671 0.671 0.986
Ca 0.329 0.329 0.014
Tl 0.240 0.878 0.350
Tl 0.468 0.760 0.650
Tl 0.878 0.532 0.350
Tl 0.122 0.468 0.650
Tl 0.760 0.122 0.650
Tl 0.532 0.240 0.350
Li 0.949 0.199 0.166
Li 0.199 0.687 0.166
Li 0.687 0.949 0.166
Li 0.801 0.313 0.834
Li 0.051 0.801 0.834
Li 0.313 0.051 0.834

***

DFT (PBE) results for a relaxed structure of LiCaTl3.

Results
energy above the most stable polymorph in this dataset	604	meV/atom
V	208.9	Å³ per cell
ρ	5.25	g/cm3
energy of formation	0.375	eV per atom

Cell: 5.934 5.934 5.934 Å, 90.00 90.00 90.00°
Fractional positions:
Li 0.500 0.500 0.500
Ca 0.000 0.000 0.000
Tl 0.000 0.000 0.500
Tl 0.000 0.500 0.000
Tl 0.500 0.000 0.000